The following is a DFT calculation (PBE-GGA) of a relaxed Ac6Rh3Au2I crystal.

Results
Its calculated total energy is -5.3870 eV per atom. The value obtained for the density of states at the Fermi level is 0.438 states/eV/atom.

Cell lengths 10.321, 10.321, 9.403 Å; angles 108.19, 108.19, 24.29 degrees
Atoms (fractional coordinates):
Ac1 0.009 0.009 0.216
Ac2 0.320 0.320 0.437
Ac3 0.338 0.338 0.902
Ac4 0.662 0.662 0.098
Ac5 0.680 0.680 0.563
Ac6 0.991 0.991 0.784
Rh1 0.166 0.166 0.328
Rh2 0.500 0.500 0.000
Rh3 0.834 0.834 0.672
Au1 0.163 0.163 0.825
Au2 0.837 0.837 0.175
I1 0.500 0.500 0.500